(1)
# Dy3Fe6Co2Ni, optimized geometry, DFT GGA-PBE
data_Dy3Fe6Co2Ni
_symmetry_space_group_name_H-M 'R -3 m'
_symmetry_Int_Tables_number 166
_symmetry_space_group_name_Hall '-R 3 2"'
_cell_length_a 5.0350
_cell_length_b 5.0350
_cell_length_c 24.5355
_cell_angle_alpha 90.00
_cell_angle_beta 90.00
_cell_angle_gamma 120.00
loop_
_atom_site_label
_atom_site_fract_x
_atom_site_fract_y
_atom_site_fract_z
_atom_site_occupancy
Dy1 0.0000 0.0000 0.0000 1
Dy2 0.0000 0.0000 0.1420 1
Fe1 0.0013 0.5007 0.9189 1
Co1 0.0000 0.0000 0.3326 1
Ni1 0.0000 0.0000 0.5000 1
# Formation energy from the elements (kcal/mol of atoms): -2.73
# Energy (eV/atom): -7.071

=====

(2)
# ZnCdO3, optimized geometry, DFT GGA-PBE
data_ZnCdO3
_symmetry_space_group_name_H-M 'P 4 m m'
_symmetry_Int_Tables_number 99
_symmetry_space_group_name_Hall 'P 4 -2'
_cell_length_a 3.831
_cell_length_b 3.831
_cell_length_c 3.903
_cell_angle_alpha 90.00
_cell_angle_beta 90.00
_cell_angle_gamma 90.00
loop_
_atom_site_label
_atom_site_fract_x
_atom_site_fract_y
_atom_site_fract_z
_atom_site_occupancy
Zn1 0.000 0.000 0.000 1
Cd1 0.500 0.500 0.430 1
O1 0.000 0.000 0.510 1
O2 0.000 0.500 0.053 1
# Energy (eV/atom): -3.806

=====

(3)
# HoMg2ZrAu4, optimized geometry, DFT GGA-PBE
data_HoMg2ZrAu4
_symmetry_space_group_name_H-M 'P 4/m m m'
_symmetry_Int_Tables_number 123
_symmetry_space_group_name_Hall '-P 4 2'
_cell_length_a 4.819
_cell_length_b 4.819
_cell_length_c 6.799
_cell_angle_alpha 90.00
_cell_angle_beta 90.00
_cell_angle_gamma 90.00
loop_
_atom_site_label
_atom_site_fract_x
_atom_site_fract_y
_atom_site_fract_z
_atom_site_occupancy
Ho1 0.000 0.000 0.000 1
Mg1 0.000 0.000 0.500 1
Mg2 0.500 0.500 0.000 1
Zr1 0.500 0.500 0.500 1
Au1 0.000 0.500 0.261 1
# Energy (eV/atom): -4.362

=====

(4)
# Nd2Mg2O5, optimized geometry, DFT GGA-PBE
data_Nd2Mg2O5
_symmetry_space_group_name_H-M 'P 4/m m m'
_symmetry_Int_Tables_number 123
_symmetry_space_group_name_Hall '-P 4 2'
_cell_length_a 3.903
_cell_length_b 3.903
_cell_length_c 7.323
_cell_angle_alpha 90.00
_cell_angle_beta 90.00
_cell_angle_gamma 90.00
loop_
_atom_site_label
_atom_site_fract_x
_atom_site_fract_y
_atom_site_fract_z
_atom_site_occupancy
Nd1 0.000 0.000 0.000 1
Nd2 0.000 0.000 0.500 1
Mg1 0.500 0.500 0.244 1
O1 0.000 0.500 0.207 1
O2 0.500 0.500 0.500 1
# Energy (eV/atom): -6.991

=====

(5)
# SrMgCd2Ge, optimized geometry, DFT GGA-PBE
data_SrMgCd2Ge
_symmetry_space_group_name_H-M 'I 4 m m'
_symmetry_Int_Tables_number 107
_symmetry_space_group_name_Hall 'I 4 -2'
_cell_length_a 4.517
_cell_length_b 4.517
_cell_length_c 12.459
_cell_angle_alpha 90.00
_cell_angle_beta 90.00
_cell_angle_gamma 90.00
loop_
_atom_site_label
_atom_site_fract_x
_atom_site_fract_y
_atom_site_fract_z
_atom_site_occupancy
Sr1 0.000 0.000 0.000 1
Mg1 0.000 0.000 0.626 1
Cd1 0.000 0.500 0.272 1
Ge1 0.000 0.000 0.412 1
# Energy (eV/atom): -2.221

=====

(6)
# GaFeB2, optimized geometry, DFT GGA-PBE
data_GaFeB2
_symmetry_space_group_name_H-M 'F -4 3 m'
_symmetry_Int_Tables_number 216
_symmetry_space_group_name_Hall 'F -4 2 3'
_cell_length_a 5.352
_cell_length_b 5.352
_cell_length_c 5.352
_cell_angle_alpha 90.00
_cell_angle_beta 90.00
_cell_angle_gamma 90.00
loop_
_atom_site_label
_atom_site_fract_x
_atom_site_fract_y
_atom_site_fract_z
_atom_site_occupancy
Ga1 0.000 0.000 0.000 1
Fe1 0.250 0.250 0.250 1
B1 0.000 0.000 0.500 1
B2 0.250 0.250 0.750 1
# Energy (eV/atom): -5.008

=====

(7)
# SmZrPO, optimized geometry, DFT GGA-PBE
data_SmZrPO
_symmetry_space_group_name_H-M 'P 4/n m m'
_symmetry_Int_Tables_number 129
_cell_length_a 4.151
_cell_length_b 4.151
_cell_length_c 8.204
_cell_angle_alpha 90.00
_cell_angle_beta 90.00
_cell_angle_gamma 90.00
loop_
_symmetry_equiv_pos_as_xyz
'x,y,z'
'-x,-y,-z'
'-y+1/2,x,z'
'y+1/2,-x,-z'
'-x+1/2,-y+1/2,z'
'x+1/2,y+1/2,-z'
'y,-x+1/2,z'
'-y,x+1/2,-z'
'x+1/2,-y,-z'
'-x+1/2,y,z'
'-y,-x,-z'
'y,x,z'
'-x,y+1/2,-z'
'x,-y+1/2,z'
'y+1/2,x+1/2,-z'
'-y+1/2,-x+1/2,z'
loop_
_atom_site_label
_atom_site_fract_x
_atom_site_fract_y
_atom_site_fract_z
_atom_site_occupancy
Sm1 0.250 0.750 0.000 1
Zr1 0.250 0.250 0.396 1
P1 0.250 0.250 0.761 1
O1 0.250 0.750 0.500 1
# Excess energy over the best structure of this formula in the dataset (meV/atom): 588
# Energy (eV/atom): -7.330

=====

(8)
# NaSrLuSe3, optimized geometry, DFT GGA-PBE
data_NaSrLuSe3
_symmetry_space_group_name_H-M 'C 1 2/m 1'
_symmetry_Int_Tables_number 12
_symmetry_space_group_name_Hall '-C 2y'
_cell_length_a 17.654
_cell_length_b 4.118
_cell_length_c 9.048
_cell_angle_alpha 90.00
_cell_angle_beta 104.83
_cell_angle_gamma 90.00
loop_
_atom_site_label
_atom_site_fract_x
_atom_site_fract_y
_atom_site_fract_z
_atom_site_occupancy
Na1 0.005 0.000 0.204 1
Sr1 0.136 0.500 0.568 1
Lu1 0.166 0.500 0.085 1
Se1 0.000 0.000 0.500 1
Se2 0.000 0.500 0.000 1
Se3 0.170 0.000 0.866 1
Se4 0.179 0.000 0.308 1
# Excess energy over the best structure of this formula in the dataset (meV/atom): 0
# Energy (eV/atom): -4.731

=====

(9)
# KRb2Cu3P2, optimized geometry, DFT GGA-PBE
data_KRb2Cu3P2
_symmetry_space_group_name_H-M 'R -3 m'
_symmetry_Int_Tables_number 166
_symmetry_space_group_name_Hall '-R 3 2"'
_cell_length_a 5.9543
_cell_length_b 5.9543
_cell_length_c 19.9439
_cell_angle_alpha 90.00
_cell_angle_beta 90.00
_cell_angle_gamma 120.00
loop_
_atom_site_label
_atom_site_fract_x
_atom_site_fract_y
_atom_site_fract_z
_atom_site_occupancy
K1 0.0000 0.0000 0.0000 1
Rb1 0.0000 0.0000 0.4082 1
Cu1 0.0000 0.5000 0.5000 1
P1 0.0000 0.0000 0.2394 1
# Energy (eV/atom): -3.416

=====

(10)
# YEr2Cd5, optimized geometry, DFT GGA-PBE
data_YEr2Cd5
_symmetry_space_group_name_H-M 'A m m 2'
_symmetry_Int_Tables_number 38
_symmetry_space_group_name_Hall 'A 2 -2'
_cell_length_a 5.067
_cell_length_b 7.437
_cell_length_c 10.343
_cell_angle_alpha 90.00
_cell_angle_beta 90.00
_cell_angle_gamma 90.00
loop_
_atom_site_label
_atom_site_fract_x
_atom_site_fract_y
_atom_site_fract_z
_atom_site_occupancy
Y1 0.000 0.000 0.000 1
Er1 0.000 0.000 0.472 1
Er2 0.500 0.000 0.736 1
Cd1 0.000 0.244 0.736 1
Cd2 0.500 0.000 0.236 1
Cd3 0.500 0.247 0.486 1
# Formation energy from the elements (kcal/mol of atoms): -6.88
# Energy (eV/atom): -2.807

=====

(11)
# Li2ZnRe, optimized geometry, DFT GGA-PBE
data_Li2ZnRe
_symmetry_space_group_name_H-M 'F -4 3 m'
_symmetry_Int_Tables_number 216
_symmetry_space_group_name_Hall 'F -4 2 3'
_cell_length_a 6.050
_cell_length_b 6.050
_cell_length_c 6.050
_cell_angle_alpha 90.00
_cell_angle_beta 90.00
_cell_angle_gamma 90.00
loop_
_atom_site_label
_atom_site_fract_x
_atom_site_fract_y
_atom_site_fract_z
_atom_site_occupancy
Li1 0.000 0.000 0.000 1
Li2 0.250 0.250 0.250 1
Zn1 0.250 0.250 0.750 1
Re1 0.000 0.000 0.500 1
# Energy (eV/atom): -3.839

=====

(12)
# RbAsAu, optimized geometry, DFT GGA-PBE
data_RbAsAu
_symmetry_space_group_name_H-M 'F -4 3 m'
_symmetry_Int_Tables_number 216
_symmetry_space_group_name_Hall 'F -4 2 3'
_cell_length_a 7.120
_cell_length_b 7.120
_cell_length_c 7.120
_cell_angle_alpha 90.00
_cell_angle_beta 90.00
_cell_angle_gamma 90.00
loop_
_atom_site_label
_atom_site_fract_x
_atom_site_fract_y
_atom_site_fract_z
_atom_site_occupancy
Rb1 0.000 0.000 0.000 1
As1 0.000 0.000 0.500 1
Au1 0.250 0.250 0.750 1
# Excess energy over the best structure of this formula in the dataset (meV/atom): 0
# Energy (eV/atom): -2.706

=====

Look up the energy of the first one.
-7.071 eV/atom

=====

Repeat the first record exactly.
# Dy3Fe6Co2Ni, optimized geometry, DFT GGA-PBE
data_Dy3Fe6Co2Ni
_symmetry_space_group_name_H-M 'R -3 m'
_symmetry_Int_Tables_number 166
_symmetry_space_group_name_Hall '-R 3 2"'
_cell_length_a 5.0350
_cell_length_b 5.0350
_cell_length_c 24.5355
_cell_angle_alpha 90.00
_cell_angle_beta 90.00
_cell_angle_gamma 120.00
loop_
_atom_site_label
_atom_site_fract_x
_atom_site_fract_y
_atom_site_fract_z
_atom_site_occupancy
Dy1 0.0000 0.0000 0.0000 1
Dy2 0.0000 0.0000 0.1420 1
Fe1 0.0013 0.5007 0.9189 1
Co1 0.0000 0.0000 0.3326 1
Ni1 0.0000 0.0000 0.5000 1
# Formation energy from the elements (kcal/mol of atoms): -2.73
# Energy (eV/atom): -7.071

=====

Among the records above, which one has the highest energy?
SrMgCd2Ge